{
  "formula": "Er3Mg7Sc2",
  "functional": "GGA-PBE",
  "state": "optimized geometry",
  "cell": [[-1.914, -2.687, -4.119], [4.759, -1.004, -1.556], [-2.360, -9.372, 7.210]],
  "species": ["Mg", "Mg", "Mg", "Mg", "Mg", "Mg", "Mg", "Er", "Er", "Er", "Sc", "Sc"],
  "fractional_positions": [[0.000, 0.577, 0.155], [0.000, 0.272, 0.545], [0.500, 0.077, 0.154], [0.000, 0.000, 0.000], [0.500, 0.923, 0.846], [0.000, 0.728, 0.455], [0.000, 0.423, 0.845], [0.500, 0.335, 0.669], [0.500, 0.500, 0.000], [0.500, 0.665, 0.331], [0.000, 0.145, 0.289], [0.000, 0.855, 0.711]],
  "ef_ev_per_fu": 1.8,
  "volume_a3_per_cell": 317.6,
  "space_group": "Cmmm (65)"
}

=====

{
  "formula": "Er4Mg5Sc",
  "functional": "GGA-PBE",
  "state": "optimized geometry",
  "cell": [[3.722, 0.000, 0.000], [0.000, 3.722, 0.000], [0.000, 0.000, 18.757]],
  "species": ["Er", "Er", "Er", "Er", "Mg", "Mg", "Mg", "Mg", "Mg", "Sc"],
  "fractional_positions": [[0.000, 0.000, 0.194], [0.000, 0.000, 0.806], [0.000, 0.000, 0.398], [0.000, 0.000, 0.602], [0.500, 0.500, 0.296], [0.500, 0.500, 0.500], [0.500, 0.500, 0.704], [0.500, 0.500, 0.091], [0.500, 0.500, 0.909], [0.000, 0.000, 0.000]],
  "ef_ev_per_fu": -0.6,
  "volume_a3_per_cell": 259.9,
  "space_group": "P4/mmm (123)"
}

=====

{
  "formula": "ErMg2Sc",
  "functional": "GGA-PBE",
  "state": "optimized geometry",
  "cell": [[5.207, 0.000, 0.000], [2.603, 4.509, 0.000], [2.603, 1.503, 4.251]],
  "species": ["Mg", "Mg", "Er", "Sc"],
  "fractional_positions": [[0.000, 0.000, 0.000], [0.500, 0.500, 0.500], [0.750, 0.750, 0.750], [0.250, 0.250, 0.250]],
  "ef_ev_per_fu": -0.2,
  "volume_a3_per_cell": 99.8,
  "space_group": "Fm-3m (225)"
}

=====

{
  "formula": "Er2Mg3Sc7",
  "functional": "GGA-PBE",
  "state": "optimized geometry",
  "cell": [[-1.295, 0.371, 3.037], [3.520, -3.387, 1.915], [9.291, 14.926, 2.135]],
  "species": ["Er", "Er", "Sc", "Sc", "Sc", "Sc", "Sc", "Sc", "Sc", "Mg", "Mg", "Mg"],
  "fractional_positions": [[0.000, 0.854, 0.709], [0.000, 0.146, 0.291], [0.000, 0.231, 0.462], [0.500, 0.932, 0.864], [0.000, 0.587, 0.174], [0.500, 0.068, 0.136], [0.000, 0.413, 0.826], [0.000, 0.000, 0.000], [0.000, 0.769, 0.538], [0.500, 0.689, 0.378], [0.500, 0.311, 0.622], [0.500, 0.500, 0.000]],
  "ef_ev_per_fu": 1.9,
  "volume_a3_per_cell": 305.3,
  "space_group": "Cmmm (65)"
}

=====

{
  "formula": "Er6MgSc2",
  "functional": "GGA-PBE",
  "state": "optimized geometry",
  "cell": [[4.885, 0.000, 0.215], [0.000, 10.230, 0.000], [-0.449, 0.000, 10.224]],
  "species": ["Er", "Er", "Er", "Er", "Er", "Er", "Er", "Er", "Er", "Er", "Er", "Er", "Sc", "Sc", "Sc", "Sc", "Mg", "Mg"],
  "fractional_positions": [[0.000, 0.668, 0.501], [0.000, 0.663, 0.837], [0.000, 0.332, 0.499], [0.500, 0.837, 0.337], [0.000, 0.337, 0.163], [0.500, 0.499, 0.668], [0.000, 0.999, 0.832], [0.500, 0.168, 0.999], [0.500, 0.832, 0.001], [0.500, 0.163, 0.663], [0.000, 0.001, 0.168], [0.500, 0.501, 0.332], [0.500, 0.829, 0.670], [0.000, 0.329, 0.830], [0.500, 0.171, 0.330], [0.000, 0.671, 0.170], [0.500, 0.500, 0.000], [0.000, 0.000, 0.500]],
  "de_polymorph_kj_per_mol_fu": 0,
  "ef_ev_per_fu": 0.4,
  "volume_a3_per_cell": 511.9,
  "space_group": "P4_2/mnm (136)"
}

=====

{
  "formula": "Er7Mg2Sc2",
  "functional": "GGA-PBE",
  "state": "optimized geometry",
  "cell": [[3.471, 0.000, 0.000], [1.736, 10.116, -0.318], [1.736, 4.516, 9.057]],
  "species": ["Er", "Er", "Er", "Er", "Er", "Er", "Er", "Sc", "Sc", "Mg", "Mg"],
  "fractional_positions": [[0.841, 0.484, 0.834], [0.827, 0.022, 0.325], [0.173, 0.675, 0.978], [0.500, 0.036, 0.964], [0.613, 0.475, 0.299], [0.159, 0.166, 0.516], [0.387, 0.701, 0.525], [0.721, 0.867, 0.690], [0.279, 0.310, 0.133], [0.500, 0.340, 0.660], [0.000, 0.779, 0.221]],
  "ef_ev_per_fu": 1.6,
  "volume_a3_per_cell": 323.0,
  "space_group": "Imm2 (44)"
}

=====

{
  "formula": "Er3Mg3Sc2",
  "functional": "GGA-PBE",
  "state": "optimized geometry",
  "cell": [[3.623, 0.000, 0.000], [0.000, 5.312, 0.000], [-1.812, -2.656, 10.855]],
  "species": ["Mg", "Mg", "Mg", "Sc", "Sc", "Er", "Er", "Er"],
  "fractional_positions": [[0.121, 0.121, 0.243], [0.879, 0.879, 0.757], [0.000, 0.500, 0.000], [0.263, 0.763, 0.527], [0.737, 0.237, 0.473], [0.500, 0.000, 0.000], [0.370, 0.370, 0.741], [0.630, 0.630, 0.259]],
  "ef_ev_per_fu": -0.3,
  "volume_a3_per_cell": 208.9,
  "space_group": "Immm (71)"
}

=====

{
  "formula": "Er4MgSc",
  "functional": "GGA-PBE",
  "state": "optimized geometry",
  "cell": [[-0.883, -4.187, 6.268], [3.340, -1.802, 6.572], [-2.249, 3.708, 2.160]],
  "species": ["Mg", "Sc", "Er", "Er", "Er", "Er"],
  "fractional_positions": [[0.000, 0.000, 0.000], [0.500, 0.500, 0.500], [0.337, 0.337, 0.000], [0.165, 0.165, 0.500], [0.835, 0.835, 0.500], [0.663, 0.663, 0.000]],
  "de_polymorph_kj_per_mol_fu": 15,
  "ef_ev_per_fu": 0.2,
  "volume_a3_per_cell": 169.3,
  "space_group": "Cmmm (65)"
}

=====

{
  "formula": "Er3Mg2Sc3",
  "functional": "GGA-PBE",
  "state": "optimized geometry",
  "cell": [[3.280, 0.000, 0.000], [-1.640, 6.269, 0.000], [0.000, 0.000, 20.702]],
  "species": ["Mg", "Mg", "Mg", "Mg", "Er", "Er", "Er", "Er", "Er", "Er", "Sc", "Sc", "Sc", "Sc", "Sc", "Sc"],
  "fractional_positions": [[0.756, 0.512, 0.628], [0.244, 0.488, 0.372], [0.756, 0.512, 0.872], [0.244, 0.488, 0.128], [0.618, 0.236, 0.750], [0.627, 0.254, 0.490], [0.382, 0.764, 0.250], [0.373, 0.746, 0.510], [0.373, 0.746, 0.990], [0.627, 0.254, 0.010], [0.015, 0.030, 0.876], [0.637, 0.274, 0.250], [0.015, 0.030, 0.624], [0.363, 0.726, 0.750], [0.985, 0.970, 0.124], [0.985, 0.970, 0.376]],
  "de_polymorph_kj_per_mol_fu": 70,
  "ef_ev_per_fu": 0.7,
  "volume_a3_per_cell": 425.7,
  "space_group": "Cmcm (63)"
}

=====

{
  "formula": "ErMg4Sc2",
  "functional": "GGA-PBE",
  "state": "optimized geometry",
  "cell": [[-2.238, 2.509, 0.192], [-3.878, -3.828, 4.842], [3.541, 2.719, 5.763]],
  "species": ["Sc", "Sc", "Mg", "Mg", "Mg", "Mg", "Er"],
  "fractional_positions": [[0.000, 0.204, 0.796], [0.000, 0.796, 0.204], [0.500, 0.000, 0.500], [0.000, 0.771, 0.771], [0.500, 0.500, 0.000], [0.000, 0.229, 0.229], [0.500, 0.500, 0.500]],
  "de_polymorph_kj_per_mol_fu": 0,
  "ef_ev_per_fu": 0.9,
  "volume_a3_per_cell": 178.5,
  "space_group": "Cmmm (65)"
}

=====

{
  "formula": "Er2Mg2Sc7",
  "functional": "GGA-PBE",
  "state": "optimized geometry",
  "cell": [[5.036, 0.901, 1.301], [0.267, 7.439, 1.487], [0.267, -1.220, 7.488]],
  "species": ["Sc", "Sc", "Sc", "Sc", "Sc", "Sc", "Sc", "Mg", "Mg", "Er", "Er"],
  "fractional_positions": [[0.360, 0.227, 0.227], [0.000, 0.000, 0.000], [0.176, 0.602, 0.027], [0.824, 0.973, 0.398], [0.176, 0.027, 0.602], [0.824, 0.398, 0.973], [0.640, 0.773, 0.773], [0.210, 0.579, 0.579], [0.790, 0.421, 0.421], [0.500, 0.215, 0.785], [0.500, 0.785, 0.215]],
  "ef_ev_per_fu": 1.9,
  "volume_a3_per_cell": 285.2,
  "space_group": "C2/m (12)"
}

=====

{
  "formula": "Er3MgSc",
  "functional": "GGA-PBE",
  "state": "optimized geometry",
  "cell": [[-3.046, -1.683, -0.614], [0.013, -4.363, -8.425], [-0.486, -6.283, 9.415]],
  "species": ["Er", "Er", "Er", "Er", "Er", "Er", "Mg", "Mg", "Sc", "Sc"],
  "fractional_positions": [[0.741, 0.456, 0.605], [0.284, 0.114, 0.203], [0.715, 0.686, 0.197], [0.285, 0.314, 0.803], [0.259, 0.544, 0.395], [0.716, 0.886, 0.797], [0.287, 0.730, 0.969], [0.713, 0.270, 0.031], [0.707, 0.076, 0.433], [0.293, 0.924, 0.567]],
  "ef_ev_per_fu": 0.1,
  "volume_a3_per_cell": 281.0,
  "space_group": "P-1 (2)"
}

=====

{
  "formula": "Er7MgSc3",
  "functional": "GGA-PBE",
  "state": "optimized geometry",
  "cell": [[-1.540, -0.206, 8.030], [2.317, -6.396, 0.280], [4.274, 5.214, 0.953]],
  "species": ["Er", "Er", "Er", "Er", "Er", "Er", "Er", "Mg", "Sc", "Sc", "Sc"],
  "fractional_positions": [[0.454, 0.831, 0.661], [0.113, 0.667, 0.333], [0.110, 0.167, 0.335], [0.110, 0.167, 0.833], [0.454, 0.339, 0.169], [0.110, 0.665, 0.833], [0.454, 0.831, 0.169], [0.456, 0.333, 0.667], [0.784, 0.998, 0.499], [0.784, 0.501, 0.002], [0.784, 0.501, 0.499]],
  "ef_ev_per_fu": 2.5,
  "volume_a3_per_cell": 328.4,
  "space_group": "P3m1 (156)"
}

=====

{
  "formula": "ErMg5Sc4",
  "functional": "GGA-PBE",
  "state": "optimized geometry",
  "cell": [[3.619, 0.000, 0.000], [0.000, 3.619, 0.000], [0.000, 0.000, 18.267]],
  "species": ["Mg", "Mg", "Mg", "Mg", "Mg", "Sc", "Sc", "Sc", "Sc", "Er"],
  "fractional_positions": [[0.500, 0.500, 0.500], [0.500, 0.500, 0.305], [0.500, 0.500, 0.111], [0.500, 0.500, 0.695], [0.500, 0.500, 0.889], [0.000, 0.000, 0.403], [0.000, 0.000, 0.597], [0.000, 0.000, 0.207], [0.000, 0.000, 0.793], [0.000, 0.000, 0.000]],
  "ef_ev_per_fu": -0.4,
  "volume_a3_per_cell": 239.2,
  "space_group": "P4/mmm (123)"
}

=====

{
  "formula": "Er4Mg7Sc",
  "functional": "GGA-PBE",
  "state": "optimized geometry",
  "cell": [[5.541, 0.000, 0.000], [2.771, 10.519, -0.782], [2.771, -0.036, 5.532]],
  "species": ["Mg", "Mg", "Mg", "Mg", "Mg", "Mg", "Mg", "Er", "Er", "Er", "Er", "Sc"],
  "fractional_positions": [[0.626, 0.507, 0.242], [0.374, 0.493, 0.758], [0.079, 0.695, 0.147], [0.500, 0.000, 0.000], [0.216, 0.076, 0.492], [0.921, 0.305, 0.853], [0.784, 0.924, 0.508], [0.784, 0.661, 0.771], [0.374, 0.781, 0.471], [0.626, 0.219, 0.529], [0.216, 0.339, 0.229], [0.000, 0.000, 0.000]],
  "de_polymorph_kj_per_mol_fu": 205,
  "ef_ev_per_fu": 2.0,
  "volume_a3_per_cell": 322.3,
  "space_group": "C2/m (12)"
}

=====

{
  "formula": "Er3Mg8Sc3",
  "functional": "GGA-PBE",
  "state": "optimized geometry",
  "cell": [[-1.914, -0.093, 4.679], [1.040, -11.746, 0.193], [5.949, 6.445, -0.170]],
  "species": ["Mg", "Mg", "Mg", "Mg", "Mg", "Mg", "Mg", "Mg", "Er", "Er", "Er", "Sc", "Sc", "Sc"],
  "fractional_positions": [[0.866, 0.243, 0.732], [0.134, 0.757, 0.268], [0.358, 0.093, 0.715], [0.134, 0.511, 0.268], [0.358, 0.623, 0.715], [0.642, 0.907, 0.285], [0.642, 0.377, 0.285], [0.866, 0.489, 0.732], [0.222, 0.222, 0.443], [0.500, 0.500, 0.000], [0.778, 0.778, 0.557], [0.500, 0.000, 0.000], [0.000, 0.852, 0.000], [0.000, 0.148, 0.000]],
  "ef_ev_per_fu": 0.6,
  "volume_a3_per_cell": 356.8,
  "space_group": "Immm (71)"
}

=====

{
  "formula": "Er3MgSc7",
  "functional": "GGA-PBE",
  "state": "optimized geometry",
  "cell": [[8.108, 0.000, 0.000], [0.000, 6.562, 0.000], [0.000, -3.281, 5.683]],
  "species": ["Sc", "Sc", "Sc", "Sc", "Sc", "Sc", "Sc", "Er", "Er", "Er", "Mg"],
  "fractional_positions": [[0.438, 0.341, 0.170], [0.438, 0.830, 0.170], [0.121, 0.667, 0.333], [0.125, 0.166, 0.332], [0.125, 0.668, 0.834], [0.438, 0.830, 0.659], [0.125, 0.166, 0.834], [0.788, 0.502, 0.003], [0.788, 0.997, 0.498], [0.788, 0.502, 0.498], [0.440, 0.333, 0.667]],
  "ef_ev_per_fu": 2.4,
  "volume_a3_per_cell": 302.4,
  "space_group": "P3m1 (156)"
}

=====

{
  "formula": "Er3Mg2Sc7",
  "functional": "GGA-PBE",
  "state": "optimized geometry",
  "cell": [[-0.371, -3.305, -0.022], [4.825, -0.526, -2.344], [6.613, -0.848, 16.257]],
  "species": ["Sc", "Sc", "Sc", "Sc", "Sc", "Sc", "Sc", "Mg", "Mg", "Er", "Er", "Er"],
  "fractional_positions": [[0.000, 0.309, 0.854], [0.500, 0.742, 0.462], [0.500, 0.258, 0.538], [0.500, 0.808, 0.834], [0.500, 0.192, 0.166], [0.000, 0.000, 0.000], [0.000, 0.691, 0.146], [0.500, 0.708, 0.291], [0.500, 0.292, 0.709], [0.000, 0.776, 0.630], [0.500, 0.500, 0.000], [0.000, 0.224, 0.370]],
  "ef_ev_per_fu": 1.1,
  "volume_a3_per_cell": 314.4,
  "space_group": "P2/m (10)"
}

=====

{
  "formula": "Er2MgSc",
  "functional": "GGA-PBE",
  "state": "optimized geometry",
  "cell": [[5.341, 0.000, 0.000], [2.671, 4.626, 0.000], [2.671, 1.542, 4.361]],
  "species": ["Sc", "Mg", "Er", "Er"],
  "fractional_positions": [[0.500, 0.500, 0.500], [0.000, 0.000, 0.000], [0.250, 0.250, 0.250], [0.750, 0.750, 0.750]],
  "de_polymorph_kj_per_mol_fu": 19,
  "ef_ev_per_fu": 0.1,
  "volume_a3_per_cell": 107.7,
  "space_group": "Fm-3m (225)"
}

=====

{
  "formula": "ErMgScSi",
  "functional": "GGA-PBE",
  "state": "optimized geometry",
  "cell": [[-2.070, -3.202, -3.087], [1.765, -4.564, -0.347], [-2.596, -3.774, 1.757]],
  "species": ["Er", "Si", "Sc", "Mg"],
  "fractional_positions": [[0.000, 0.000, 0.000], [0.250, 0.250, 0.250], [0.500, 0.500, 0.500], [0.750, 0.750, 0.750]],
  "formation_energy_uncorrected_ev_per_atom": -0.28,
  "volume_a3_per_cell": 83.5,
  "space_group": "F-43m (216)"
}

=====

{
  "formula": "SmErMgSc",
  "functional": "GGA-PBE",
  "state": "optimized geometry",
  "cell": [[3.458, 0.000, -0.286], [0.000, 3.471, 0.003], [-2.681, -0.008, 9.523]],
  "species": ["Er", "Sm", "Sc", "Mg"],
  "fractional_positions": [[0.467, 0.430, 0.574], [0.244, 0.930, 0.852], [0.719, 0.930, 0.326], [0.001, 0.429, 0.109]],
  "de_polymorph_kj_per_mol_fu": 0,
  "ef_ev_per_fu": 0.0,
  "volume_a3_per_cell": 111.6,
  "space_group": "P1 (1)"
}

=====

{
  "formula": "SmErMgSc",
  "functional": "GGA-PBE",
  "state": "optimized geometry",
  "cell": [[5.397, 0.000, 0.000], [2.699, 4.674, 0.000], [2.699, 1.558, 4.407]],
  "species": ["Er", "Sm", "Mg", "Sc"],
  "fractional_positions": [[0.250, 0.250, 0.250], [0.750, 0.750, 0.750], [0.500, 0.500, 0.500], [0.000, 0.000, 0.000]],
  "de_polymorph_kj_per_mol_fu": 11,
  "ef_ev_per_fu": 0.1,
  "volume_a3_per_cell": 111.2,
  "space_group": "F-43m (216)"
}

=====

{
  "formula": "Sm4Er2MgSc",
  "functional": "GGA-PBE",
  "state": "optimized geometry",
  "cell": [[-4.077, 2.907, -0.216], [-2.590, -3.441, 2.570], [-0.009, 0.794, 10.853]],
  "species": ["Sm", "Sm", "Sm", "Sm", "Er", "Er", "Mg", "Sc"],
  "fractional_positions": [[0.500, 0.748, 0.251], [0.000, 0.248, 0.251], [0.000, 0.752, 0.749], [0.500, 0.252, 0.749], [0.500, 0.000, 0.500], [0.000, 0.000, 0.000], [0.500, 0.500, 0.000], [0.000, 0.500, 0.500]],
  "ef_ev_per_fu": 0.2,
  "volume_a3_per_cell": 242.7,
  "space_group": "P4/mmm (123)"
}

=====

Number 1: E -35.75 eV for the cell shown. Number 2: E -33.14 eV for the cell shown. Number 3: E -14.28 eV for the cell shown. Number 4: E -56.34 eV for the cell shown. Number 5: E -82.48 eV for the cell shown. Number 6: E -46.20 eV for the cell shown. Number 7: E -31.40 eV for the cell shown. Number 8: E -26.00 eV for the cell shown. Number 9: E -70.38 eV for the cell shown. Number 10: E -22.68 eV for the cell shown. Number 11: E -54.71 eV for the cell shown. Number 12: E -43.08 eV for the cell shown. Number 13: E -50.01 eV for the cell shown. Number 14: E -38.30 eV for the cell shown. Number 15: E -33.76 eV for the cell shown. Number 16: E -44.84 eV for the cell shown. Number 17: E -57.17 eV for the cell shown. Number 18: E -60.08 eV for the cell shown. Number 19: E -16.92 eV for the cell shown. Number 20: E -19.03 eV for the cell shown. Number 21: E -17.22 eV for the cell shown. Number 22: E -17.11 eV for the cell shown. Number 23: E -35.76 eV for the cell shown.